## CsHf2CuGe (PBE-GGA)

Data for CsHf2CuGe after structural relaxation.

Cell and atoms, written as CIF:
```
data_CsHf2CuGe
_chemical_formula_sum 'Cs1 Hf2 Cu1 Ge1'
_space_group_name_H-M_alt 'P 4/m m m'
_space_group_IT_number 123
_space_group_name_Hall '-P 4 2'
_cell_length_a 5.1687
_cell_length_b 5.1687
_cell_length_c 4.6231
_cell_angle_alpha 90.00
_cell_angle_beta 90.00
_cell_angle_gamma 90.00
loop_
_atom_site_label
_atom_site_fract_x
_atom_site_fract_y
_atom_site_fract_z
_atom_site_occupancy
Cs1 0.0000 0.0000 0.0000 1
Hf1 0.0000 0.5000 0.5000 1
Cu1 0.5000 0.5000 0.5000 1
Ge1 0.5000 0.5000 0.0000 1
```

- formation energy (meV per atom) = 942
- magnetization (μB/cell) = 0.0